[1]
Density functional theory data (PBE-GGA) for a relaxed structure of Ho6Si2Te3Pb.

Cell: 9.6344 9.6344 8.6973 Å, 103.53 103.53 25.43°
Last column: nearest neighbours and their distance in Å.
Atoms (fractional coordinates):
Ho  0.0111  0.0111  0.2541  1 Si 2.87, 2 Pb 3.03, 3 Te 3.05-3.19
Ho  0.3249  0.3249  0.4340  3 Si 2.87-2.89, 3 Te 3.19-3.20
Ho  0.3316  0.3316  0.8888  2 Si 2.89, 3 Te 3.08-3.20, 1 Pb 3.08
Ho  0.6684  0.6684  0.1112  2 Si 2.89, 3 Te 3.08-3.20, 1 Pb 3.08
Ho  0.6751  0.6751  0.5660  3 Si 2.87-2.89, 3 Te 3.19-3.20
Ho  0.9889  0.9889  0.7459  1 Si 2.87, 2 Pb 3.03, 3 Te 3.05-3.19
Si  0.1681  0.1681  0.3366  6 Ho 2.87-2.89
Si  0.8319  0.8319  0.6634  6 Ho 2.87-2.89
Te  0.1636  0.1636  0.8326  6 Ho 3.08-3.20
Te  0.5000  0.5000  0.5000  6 Ho 3.05-3.20
Te  0.8364  0.8364  0.1674  6 Ho 3.08-3.20
Pb  0.5000  0.5000  0.0000  6 Ho 3.03-3.08

Calculated values
* Fermi-level density of states: 2.30 states/eV/cell
* ΔE_f (raw): -1.0193 eV per atom
* crystal system: monoclinic

[2]
Density functional theory data (PBE-GGA) for a relaxed structure of TbPr4Nd2Cd.

Cell: 5.0620 5.0743 10.3299 Å, 90.00 90.00 90.00°
Last column: nearest neighbours and their distance in Å.
Atoms (fractional coordinates):
Tb  0.0000  0.0000  0.0000  4 Nd 3.58, 8 Pr 3.65-3.66
Pr  0.0000  0.5000  0.2551  2 Cd 3.58, 4 Nd 3.58-3.65, 4 Pr 3.58, 2 Tb 3.66
Pr  0.0000  0.5000  0.7449  2 Cd 3.58, 4 Nd 3.58-3.65, 4 Pr 3.58, 2 Tb 3.66
Pr  0.5000  0.0000  0.2547  4 Nd 3.58-3.66, 4 Pr 3.58, 2 Cd 3.59, 2 Tb 3.65
Pr  0.5000  0.0000  0.7453  4 Nd 3.58-3.66, 4 Pr 3.58, 2 Cd 3.59, 2 Tb 3.65
Nd  0.0000  0.0000  0.5000  8 Pr 3.58, 4 Cd 3.58
Nd  0.5000  0.5000  0.0000  4 Tb 3.58, 8 Pr 3.65-3.66
Cd  0.5000  0.5000  0.5000  8 Pr 3.58-3.59, 4 Nd 3.58

Calculated values
* Fermi-level density of states: 10.24 states/eV/cell
* crystal system: orthorhombic
* DFT formation energy: -0.332 eV/f.u.

[3]
Density functional theory data (PBE-GGA) for a relaxed structure of Nd2NiSn.

Cell: 4.4398 4.8230 10.1992 Å, 90.00 90.00 90.00°
Last column: nearest neighbours and their distance in Å.
Atoms (fractional coordinates):
Nd  0.0000  0.0000  0.1680  2 Ni 2.80
Nd  0.0000  0.0000  0.8320  2 Ni 2.80
Nd  0.5000  0.5000  0.3320  2 Ni 2.80
Nd  0.5000  0.5000  0.6680  2 Ni 2.80
Ni  0.0000  0.5000  0.5000  2 Sn 2.41
Ni  0.5000  0.0000  0.0000  2 Sn 2.41
Sn  0.0000  0.0000  0.5000  2 Ni 2.41
Sn  0.5000  0.5000  0.0000  2 Ni 2.41

Calculated values
* Fermi-level density of states: 4.49 states/eV/cell
* distance to the lowest polymorph of the same formula: 0.481 eV/f.u.
* crystal system: orthorhombic
* DFT formation energy: -1.258 eV/f.u.

[4]
Density functional theory data (PBE-GGA) for a relaxed structure of K2LiRh.

Cell: 3.4306 5.8620 11.9593 Å, 90.00 90.00 90.00°
Last column: nearest neighbours and their distance in Å.
Atoms (fractional coordinates):
K  0.0000  0.0000  0.0000  4 Rh 3.42, 4 K 3.43-3.78, 2 Li 3.63
K  0.0000  0.5000  0.1996  2 Rh 3.26, 2 K 3.43
K  0.5000  0.0000  0.6996  2 Rh 3.26, 2 K 3.43
K  0.5000  0.5000  0.5000  4 Rh 3.42, 4 K 3.43-3.78, 2 Li 3.63
Li  0.0000  0.5000  0.8213  2 Rh 2.45
Li  0.5000  0.0000  0.3213  2 Rh 2.45
Rh  0.0000  0.0000  0.4673  2 Li 2.45
Rh  0.5000  0.5000  0.9673  2 Li 2.45

Calculated values
* Fermi-level density of states: 4.93 states/eV/cell
* crystal system: orthorhombic
* DFT formation energy: 1.602 eV/f.u.

[5]
Density functional theory data (PBE-GGA) for a relaxed structure of TcSbOs.

Cell: 6.7666 3.9082 10.0928 Å, 90.00 103.02 90.00°
Last column: nearest neighbours and their distance in Å.
Atoms (fractional coordinates):
Tc  0.0976  0.0000  0.2947  4 Os 2.54-2.71, 3 Sb 2.67
Tc  0.4024  0.5000  0.7053  4 Os 2.54-2.71, 3 Sb 2.67
Tc  0.5976  0.5000  0.2947  4 Os 2.54-2.71, 3 Sb 2.67
Tc  0.9024  0.0000  0.7053  4 Os 2.54-2.71, 3 Sb 2.67
Sb  0.2153  0.5000  0.1496  3 Tc 2.67, 1 Os 2.92
Sb  0.2847  0.0000  0.8504  3 Tc 2.67, 1 Os 2.92
Sb  0.7153  0.0000  0.1496  3 Tc 2.67, 1 Os 2.92
Sb  0.7847  0.5000  0.8504  3 Tc 2.67, 1 Os 2.92
Os  0.1846  0.0000  0.5530  3 Os 2.49, 4 Tc 2.54-2.71
Os  0.3154  0.5000  0.4470  3 Os 2.49, 4 Tc 2.54-2.71
Os  0.6846  0.5000  0.5530  3 Os 2.49, 4 Tc 2.54-2.71
Os  0.8154  0.0000  0.4470  3 Os 2.49, 4 Tc 2.54-2.71

Calculated values
* Fermi-level density of states: 9.90 states/eV/cell
* ΔE_f (raw): 0.3639 eV per atom
* distance to the lowest polymorph of the same formula: 0.166 eV/f.u.
* crystal system: monoclinic

[6]
Density functional theory data (PBE-GGA) for a relaxed structure of AcTb5Pr2.

Cell: 8.6902 11.4289 12.5672 Å, 95.31 108.42 106.18°
Last column: nearest neighbours and their distance in Å.
Atoms (fractional coordinates):
Ac  0.0269  0.4028  0.1803  10 Tb 3.63-3.77, 1 Pr 3.72, 1 Ac 3.76
Ac  0.0977  0.3427  0.6925  9 Tb 3.63-3.74, 2 Pr 3.72-3.74, 1 Ac 3.76
Ac  0.9023  0.6573  0.3075  9 Tb 3.63-3.74, 2 Pr 3.72-3.74, 1 Ac 3.76
Ac  0.9731  0.5972  0.8197  10 Tb 3.63-3.77, 1 Pr 3.72, 1 Ac 3.76
Tb  0.0406  0.9720  0.2528  6 Tb 3.57-3.74, 5 Pr 3.61-3.72, 1 Ac 3.66
Tb  0.0909  0.7831  0.6211  4 Pr 3.58-3.73, 2 Ac 3.63-3.72, 6 Tb 3.63-3.72
Tb  0.1486  0.1531  0.0545  8 Tb 3.55-3.70, 3 Pr 3.61-3.76, 1 Ac 3.70
Tb  0.1667  0.7232  0.1308  2 Pr 3.57-3.58, 7 Tb 3.60-3.75, 3 Ac 3.65-3.70
Tb  0.2150  0.5332  0.4962  2 Pr 3.56-3.75, 7 Tb 3.60-3.71, 3 Ac 3.64-3.75
Tb  0.2759  0.9109  0.9338  4 Pr 3.59-3.71, 7 Tb 3.60-3.75, 1 Ac 3.64
Tb  0.2937  0.4690  0.0075  7 Tb 3.53-3.75, 2 Pr 3.58-3.68, 3 Ac 3.63-3.77
Tb  0.3520  0.8440  0.4438  6 Tb 3.60-3.74, 5 Pr 3.60-3.70, 1 Ac 3.63
Tb  0.4063  0.6609  0.8081  3 Pr 3.57-3.66, 7 Tb 3.60-3.75, 2 Ac 3.68-3.69
Tb  0.4736  0.5939  0.3201  6 Tb 3.60-3.75, 4 Pr 3.61-3.67, 2 Ac 3.63-3.65
Tb  0.5264  0.4061  0.6799  6 Tb 3.60-3.75, 4 Pr 3.61-3.67, 2 Ac 3.63-3.65
Tb  0.5937  0.3391  0.1919  3 Pr 3.57-3.66, 7 Tb 3.60-3.75, 2 Ac 3.68-3.69
Tb  0.6480  0.1560  0.5562  6 Tb 3.60-3.74, 5 Pr 3.60-3.70, 1 Ac 3.63
Tb  0.7063  0.5310  0.9925  7 Tb 3.53-3.75, 2 Pr 3.58-3.68, 3 Ac 3.63-3.77
Tb  0.7241  0.0891  0.0662  4 Pr 3.59-3.71, 7 Tb 3.60-3.75, 1 Ac 3.64
Tb  0.7850  0.4668  0.5038  2 Pr 3.56-3.75, 7 Tb 3.60-3.71, 3 Ac 3.64-3.75
Tb  0.8333  0.2768  0.8692  2 Pr 3.57-3.58, 7 Tb 3.60-3.75, 3 Ac 3.65-3.70
Tb  0.8514  0.8469  0.9455  8 Tb 3.55-3.70, 3 Pr 3.61-3.76, 1 Ac 3.70
Tb  0.9091  0.2169  0.3789  4 Pr 3.58-3.73, 2 Ac 3.63-3.72, 6 Tb 3.63-3.72
Tb  0.9594  0.0280  0.7472  6 Tb 3.57-3.74, 5 Pr 3.61-3.72, 1 Ac 3.66
Pr  0.2235  0.0907  0.5673  7 Tb 3.58-3.73, 4 Pr 3.60-3.74, 1 Ac 3.74
Pr  0.3449  0.2820  0.3710  9 Tb 3.56-3.76, 2 Pr 3.65-3.72, 1 Ac 3.72
Pr  0.4140  0.2201  0.8824  9 Tb 3.58-3.71, 2 Pr 3.70-3.74, 1 Ac 3.72
Pr  0.4664  0.0301  0.2446  9 Tb 3.57-3.73, 3 Pr 3.66-3.72
Pr  0.5336  0.9699  0.7554  9 Tb 3.57-3.73, 3 Pr 3.66-3.72
Pr  0.5860  0.7799  0.1176  9 Tb 3.58-3.71, 2 Pr 3.70-3.74, 1 Ac 3.72
Pr  0.6551  0.7180  0.6290  9 Tb 3.56-3.76, 2 Pr 3.65-3.72, 1 Ac 3.72
Pr  0.7765  0.9093  0.4327  7 Tb 3.58-3.73, 4 Pr 3.60-3.74, 1 Ac 3.74

Calculated values
* Fermi-level density of states: 57.16 states/eV/cell
* distance to the lowest polymorph of the same formula: 0.083 eV/f.u.
* crystal system: triclinic
* DFT formation energy: 0.338 eV/f.u.

[7]
Density functional theory data (PBE-GGA) for a relaxed structure of RbLaTaGeTe.

Cell: 21.1815 3.8380 3.7950 Å, 90.00 100.09 90.00°
Last column: nearest neighbours and their distance in Å.
Atoms (fractional coordinates):
Rb  0.0000  0.0000  0.0000  4 Te 3.69, 2 Ge 3.76-3.80, 4 Rb 3.79-3.84, 2 Ta 3.86
Rb  0.5000  0.5000  0.0000  4 Te 3.69, 2 Ge 3.76-3.80, 4 Rb 3.79-3.84, 2 Ta 3.86
La  0.2073  0.0000  0.2024  4 Te 3.25, 2 Ta 3.34, 2 Ge 3.42
La  0.7073  0.5000  0.2024  4 Te 3.25, 2 Ta 3.34, 2 Ge 3.42
Ta  0.3392  0.0000  0.8315  4 Ge 2.70
Ta  0.8392  0.5000  0.8315  4 Ge 2.70
Ge  0.3431  0.5000  0.3354  4 Ta 2.70
Ge  0.8431  0.0000  0.3354  4 Ta 2.70
Te  0.1207  0.5000  0.6179  4 La 3.25
Te  0.6207  0.0000  0.6179  4 La 3.25

Calculated values
* Fermi-level density of states: 6.26 states/eV/cell
* ΔE_f (raw): -0.3738 eV per atom
* distance to the lowest polymorph of the same formula: 0.000 eV/f.u.
* crystal system: monoclinic

[8]
Density functional theory data (PBE-GGA) for a relaxed structure of SmDy2InN4.

Cell: 6.0188 3.4833 6.0529 Å, 90.00 110.55 90.00°
Last column: nearest neighbours and their distance in Å.
Atoms (fractional coordinates):
Sm  0.0000  0.0000  0.0000  6 N 2.47-2.51
Dy  0.0000  0.5000  0.5000  6 N 2.39-2.45
Dy  0.5000  0.0000  0.5000  6 N 2.42-2.45
In  0.5000  0.5000  0.0000  6 N 2.44-2.57
N  0.2463  0.5000  0.2637  3 Dy 2.39-2.42, 2 Sm 2.47, 1 In 2.57
N  0.2532  0.0000  0.7479  2 In 2.44, 3 Dy 2.45, 1 Sm 2.51
N  0.7468  0.0000  0.2521  2 In 2.44, 3 Dy 2.45, 1 Sm 2.51
N  0.7537  0.5000  0.7363  3 Dy 2.39-2.42, 2 Sm 2.47, 1 In 2.57

Calculated values
* ΔE_f (raw): -1.1250 eV per atom
* crystal system: monoclinic

[9]
Density functional theory data (PBE-GGA) for a relaxed structure of Ba2SrTa.

Cell: 7.6166 10.8799 3.6968 Å, 90.00 90.00 90.00°
Last column: nearest neighbours and their distance in Å.
Atoms (fractional coordinates):
Ba  0.2500  0.2500  0.0000  4 Ba 3.70-3.81, 4 Ta 3.80, 4 Sr 3.80
Ba  0.2500  0.7500  0.0000  4 Ba 3.70-3.81, 4 Ta 3.80, 4 Sr 3.80
Ba  0.7500  0.2500  0.0000  4 Ba 3.70-3.81, 4 Ta 3.80, 4 Sr 3.80
Ba  0.7500  0.7500  0.0000  4 Ba 3.70-3.81, 4 Sr 3.80, 4 Ta 3.80
Sr  0.0000  0.0000  0.5000  2 Sr 3.70, 8 Ba 3.80, 2 Ta 3.81
Sr  0.5000  0.5000  0.5000  2 Sr 3.70, 8 Ba 3.80, 2 Ta 3.81
Ta  0.0000  0.5000  0.5000  2 Ta 3.70, 8 Ba 3.80, 2 Sr 3.81
Ta  0.5000  0.0000  0.5000  2 Ta 3.70, 8 Ba 3.80, 2 Sr 3.81

Calculated values
* Fermi-level density of states: 11.75 states/eV/cell
* distance to the lowest polymorph of the same formula: 0.870 eV/f.u.
* crystal system: orthorhombic
* DFT formation energy: 4.191 eV/f.u.

[10]
Density functional theory data (PBE-GGA) for a relaxed structure of Pu2InPd.

Cell: 3.4907 5.2271 9.3275 Å, 90.00 90.00 90.00°
Last column: nearest neighbours and their distance in Å.
Atoms (fractional coordinates):
Pu  0.0000  0.0000  0.0000  2 Pu 2.49
Pu  0.0000  0.5000  0.3097  2 Pu 2.49
Pu  0.5000  0.0000  0.8097  2 Pu 2.49
Pu  0.5000  0.5000  0.5000  2 Pu 2.49
In  0.0000  0.0000  0.5169  2 Pd 2.94, 8 Pu 3.15-3.25
In  0.5000  0.5000  0.0169  2 Pd 2.94, 8 Pu 3.15-3.25
Pd  0.0000  0.5000  0.7636  2 In 2.94, 6 Pu 3.01-3.17
Pd  0.5000  0.0000  0.2636  2 In 2.94, 6 Pu 3.01-3.17

Calculated values
* Fermi-level density of states: 22.09 states/eV/cell
* distance to the lowest polymorph of the same formula: 0.310 eV/f.u.
* crystal system: orthorhombic
* DFT formation energy: -0.816 eV/f.u.

[11]
Density functional theory data (PBE-GGA) for a relaxed structure of Ac2Sn4Hg.

Cell: 5.5262 5.5262 16.5123 Å, 90.00 90.00 90.00°
Last column: nearest neighbours and their distance in Å.
Atoms (fractional coordinates):
Ac  0.0000  0.0000  0.1316  5 Sn 3.32-3.51
Ac  0.0000  0.0000  0.8684  5 Sn 3.32-3.51
Ac  0.5000  0.5000  0.3684  5 Sn 3.32-3.51
Ac  0.5000  0.5000  0.6316  5 Sn 3.32-3.51
Sn  0.0000  0.0000  0.3327  1 Hg 2.76
Sn  0.0000  0.0000  0.6673  1 Hg 2.76
Sn  0.0000  0.5000  0.0000  2 Hg 2.76
Sn  0.0000  0.5000  0.5000  2 Hg 2.76
Sn  0.5000  0.0000  0.0000  2 Hg 2.76
Sn  0.5000  0.0000  0.5000  2 Hg 2.76
Sn  0.5000  0.5000  0.1673  1 Hg 2.76
Sn  0.5000  0.5000  0.8327  1 Hg 2.76
Hg  0.0000  0.0000  0.5000  6 Sn 2.76
Hg  0.5000  0.5000  0.0000  6 Sn 2.76

Calculated values
* Fermi-level density of states: 6.34 states/eV/cell
* crystal system: tetragonal
* DFT formation energy: -0.814 eV/f.u.

[12]
Density functional theory data (PBE-GGA) for a relaxed structure of KSn2Rh.

Cell: 6.2119 6.2119 15.8616 Å, 90.00 90.00 90.00°
Last column: nearest neighbours and their distance in Å.
Atoms (fractional coordinates):
K  0.0000  0.0000  0.0000  8 Sn 3.96-4.04, 4 Rh 4.39
K  0.0000  0.5000  0.2500  8 Sn 3.96-4.04, 4 Rh 4.39
K  0.5000  0.0000  0.7500  8 Sn 3.96-4.04, 4 Rh 4.39
K  0.5000  0.5000  0.5000  8 Sn 3.96-4.04, 4 Rh 4.39
Sn  0.0084  0.2500  0.6250  2 Rh 2.52
Sn  0.2500  0.5084  0.8750  2 Rh 2.52
Sn  0.2500  0.9916  0.3750  2 Rh 2.52
Sn  0.4916  0.2500  0.1250  2 Rh 2.52
Sn  0.5084  0.7500  0.1250  2 Rh 2.52
Sn  0.7500  0.0084  0.3750  2 Rh 2.52
Sn  0.7500  0.4916  0.8750  2 Rh 2.52
Sn  0.9916  0.7500  0.6250  2 Rh 2.52
Rh  0.0000  0.0000  0.5000  4 Sn 2.52
Rh  0.0000  0.5000  0.7500  4 Sn 2.52
Rh  0.5000  0.0000  0.2500  4 Sn 2.52
Rh  0.5000  0.5000  0.0000  4 Sn 2.52

Calculated values
* Fermi-level density of states: 5.09 states/eV/cell
* crystal system: tetragonal
* DFT formation energy: -0.273 eV/f.u.

VASP energy for every record listed, in sequence, given in eV per atom: -5.3065, -4.3164, -5.1443, -2.4645, -8.2088, -4.5601, -5.4751, -7.3704, -3.2971, -9.3529, -3.6205, -4.1820.